1.
Computed, not measured: a relaxed structure of NdSm2Co2 at the GGA-PBE level of DFT.

The value obtained for the relative energy among the computed polymorphs is 0 meV per atom. As for the density of states at the Fermi level: 6.1 states/eV/f.u. Its space group is Cmmm (65). The value obtained for the energy relative to the elements is -0.06 eV/atom. Its crystal system is orthorhombic. The electronic total energy is -5.7405 eV per atom.

a = 7.652 Å, b = 7.652 Å, c = 4.107 Å
α = 90.00°, β = 90.00°, γ = 149.67°
Atoms (fractional coordinates):
Nd 0.000 0.000 0.000
Sm 0.351 0.649 0.500
Sm 0.649 0.351 0.500
Co 0.212 0.788 0.000
Co 0.788 0.212 0.000


2.
Computed, not measured: a relaxed structure of Nd6SmCo3 at the GGA-PBE level of DFT.

As for the density of states at the Fermi level: 9.1 states/eV/f.u. Its space group is Cmc2_1 (36). The value obtained for the energy relative to the elements is -0.03 eV/atom. Its crystal system is orthorhombic. The electronic total energy is -5.4896 eV per atom.

a = 8.692 Å, b = 8.692 Å, c = 7.274 Å
α = 90.00°, β = 90.00°, γ = 100.33°
Atoms (fractional coordinates):
Nd 0.027 0.973 0.500
Nd 0.038 0.415 0.348
Nd 0.292 0.374 0.989
Nd 0.327 0.673 0.617
Nd 0.374 0.292 0.489
Nd 0.415 0.038 0.848
Nd 0.585 0.962 0.348
Nd 0.626 0.708 0.989
Nd 0.673 0.327 0.117
Nd 0.708 0.626 0.489
Nd 0.962 0.585 0.848
Nd 0.973 0.027 0.000
Sm 0.224 0.776 0.163
Sm 0.776 0.224 0.663
Co 0.091 0.302 0.695
Co 0.302 0.091 0.195
Co 0.414 0.586 0.291
Co 0.586 0.414 0.791
Co 0.698 0.909 0.695
Co 0.909 0.698 0.195


3.
Computed, not measured: a relaxed structure of NdSm2Co9 at the GGA-PBE level of DFT.

As for the density of states at the Fermi level: 17.5 states/eV/f.u. Its space group is R-3m (166). The value obtained for the energy relative to the elements is -0.08 eV/atom. Its crystal system is trigonal. The electronic total energy is -6.5918 eV per atom.

a = 8.709 Å, b = 8.709 Å, c = 8.709 Å
α = 33.65°, β = 33.65°, γ = 33.65°
Atoms (fractional coordinates):
Nd 0.000 0.000 0.000
Sm 0.140 0.140 0.140
Sm 0.860 0.860 0.860
Co 0.080 0.581 0.581
Co 0.334 0.334 0.334
Co 0.419 0.419 0.920
Co 0.419 0.920 0.419
Co 0.500 0.500 0.500
Co 0.581 0.080 0.581
Co 0.581 0.581 0.080
Co 0.666 0.666 0.666
Co 0.920 0.419 0.419


4.
Computed, not measured: a relaxed structure of NdSmCo10 at the GGA-PBE level of DFT.

As for the density of states at the Fermi level: 19.9 states/eV/f.u. Its space group is Pmmm (47). The value obtained for the energy relative to the elements is -0.05 eV/atom. Its crystal system is orthorhombic. The electronic total energy is -6.7614 eV per atom.

a = 3.941 Å, b = 4.993 Å, c = 8.658 Å
α = 90.00°, β = 90.00°, γ = 90.00°
Atoms (fractional coordinates):
Nd 0.000 0.000 0.000
Sm 0.000 0.500 0.500
Co 0.000 0.000 0.335
Co 0.000 0.000 0.665
Co 0.000 0.500 0.169
Co 0.000 0.500 0.831
Co 0.500 0.000 0.500
Co 0.500 0.251 0.252
Co 0.500 0.251 0.748
Co 0.500 0.500 0.000
Co 0.500 0.749 0.252
Co 0.500 0.749 0.748


5.
Computed, not measured: a relaxed structure of Nd4SmCo4 at the GGA-PBE level of DFT.

As for the density of states at the Fermi level: 5.9 states/eV/f.u. Its space group is P4_2/n (86). The value obtained for the energy relative to the elements is 0.04 eV/atom. Its crystal system is tetragonal. The electronic total energy is -5.7651 eV per atom.

a = 8.583 Å, b = 8.583 Å, c = 5.802 Å
α = 90.00°, β = 90.00°, γ = 90.00°
Atoms (fractional coordinates):
Nd 0.056 0.677 0.131
Nd 0.177 0.944 0.631
Nd 0.323 0.556 0.631
Nd 0.444 0.823 0.131
Nd 0.556 0.177 0.869
Nd 0.677 0.444 0.369
Nd 0.823 0.056 0.369
Nd 0.944 0.323 0.869
Sm 0.250 0.250 0.250
Sm 0.750 0.750 0.750
Co 0.012 0.612 0.607
Co 0.112 0.988 0.107
Co 0.388 0.512 0.107
Co 0.488 0.888 0.607
Co 0.512 0.112 0.393
Co 0.612 0.488 0.893
Co 0.888 0.012 0.893
Co 0.988 0.388 0.393


6.
Computed, not measured: a relaxed structure of NdSm4Co2 at the GGA-PBE level of DFT.

As for the density of states at the Fermi level: 9.4 states/eV/f.u. Its space group is P2_1/m (11). The value obtained for the energy relative to the elements is -0.03 eV/atom. Its crystal system is monoclinic. The electronic total energy is -5.4340 eV per atom.

a = 6.968 Å, b = 6.681 Å, c = 8.911 Å
α = 90.00°, β = 112.94°, γ = 90.00°
Atoms (fractional coordinates):
Nd 0.233 0.250 0.207
Nd 0.767 0.750 0.793
Sm 0.023 0.250 0.790
Sm 0.282 0.000 0.565
Sm 0.282 0.500 0.565
Sm 0.334 0.750 0.000
Sm 0.666 0.250 0.000
Sm 0.718 0.000 0.435
Sm 0.718 0.500 0.435
Sm 0.977 0.750 0.210
Co 0.039 0.750 0.664
Co 0.376 0.750 0.337
Co 0.624 0.250 0.663
Co 0.961 0.250 0.336


7.
Computed, not measured: a relaxed structure of Nd5Sm3Co2 at the GGA-PBE level of DFT.

As for the density of states at the Fermi level: 12.7 states/eV/f.u. Its space group is Ibam (72). The value obtained for the energy relative to the elements is 0.02 eV/atom. Its crystal system is orthorhombic. The electronic total energy is -5.2021 eV per atom.

a = 10.000 Å, b = 10.000 Å, c = 10.000 Å
α = 116.70°, β = 81.87°, γ = 133.80°
Atoms (fractional coordinates):
Nd 0.003 0.250 0.753
Nd 0.115 0.244 0.359
Nd 0.250 0.250 0.000
Nd 0.385 0.744 0.128
Nd 0.497 0.250 0.247
Nd 0.503 0.750 0.753
Nd 0.615 0.256 0.872
Nd 0.750 0.750 0.000
Nd 0.885 0.756 0.641
Nd 0.997 0.750 0.247
Sm 0.131 0.757 0.888
Sm 0.250 0.750 0.500
Sm 0.369 0.257 0.625
Sm 0.631 0.743 0.375
Sm 0.750 0.250 0.500
Sm 0.869 0.243 0.112
Co 0.130 0.501 0.631
Co 0.370 0.001 0.371
Co 0.630 0.999 0.629
Co 0.870 0.499 0.369


8.
Computed, not measured: a relaxed structure of Nd3SmCo8 at the GGA-PBE level of DFT.

As for the density of states at the Fermi level: 19.5 states/eV/f.u. Its space group is R3m (160). The value obtained for the energy relative to the elements is -0.04 eV/atom. Its crystal system is trigonal. The electronic total energy is -6.3653 eV per atom.

a = 8.944 Å, b = 8.944 Å, c = 8.944 Å
α = 33.57°, β = 33.57°, γ = 33.57°
Atoms (fractional coordinates):
Nd 0.000 0.000 0.000
Nd 0.125 0.125 0.125
Nd 0.625 0.625 0.625
Sm 0.500 0.500 0.500
Co 0.062 0.062 0.561
Co 0.062 0.561 0.062
Co 0.064 0.562 0.562
Co 0.313 0.313 0.313
Co 0.561 0.062 0.062
Co 0.562 0.064 0.562
Co 0.562 0.562 0.064
Co 0.813 0.813 0.813